VASP calculation (PBE) on a geometry-optimized Sr2FeHg structure.

As for the crystal system: orthorhombic. The polymorph energy (0 for the lowest one) is 93 meV per atom. The calculation puts the energy of formation at 0.189 eV per atom.

Unit cell a=3.9541 b=5.3327 c=11.4289 alpha=90.00 beta=90.00 gamma=90.00
Closest atoms and distances in Å follow each position.
Space group Imm2 (No. 44)
Asymmetric unit:
1 Sr 0.0000 0.0000 0.0000 x2  4 Hg 3.40, 2 Sr 3.59, 4 Fe 3.70-3.71
2 Sr 0.0000 0.5000 0.2097 x2  4 Fe 3.40, 2 Sr 3.59, 4 Hg 3.71
3 Fe 0.0000 0.5000 0.7752 x2  2 Hg 2.69
4 Hg 0.0000 0.0000 0.4351 x2  2 Fe 2.69

VASP calculation (PBE) on a geometry-optimized Sr2FeHg structure.

As for the crystal system: trigonal. The polymorph energy (0 for the lowest one) is 252 meV per atom. The calculation puts the energy of formation at 0.349 eV per atom.

Unit cell a=4.2053 b=4.2053 c=26.4229 alpha=90.00 beta=90.00 gamma=120.00
Closest atoms and distances in Å follow each position.
Space group R-3m (No. 166, hexagonal axes)
Asymmetric unit:
1 Sr 0.0000 0.0000 0.2430 x6  3 Fe 3.16, 3 Hg 3.41
2 Fe 0.0000 0.0000 0.5000 x3  6 Sr 3.16
3 Hg 0.0000 0.0000 0.0000 x3  6 Sr 3.41

VASP calculation (PBE) on a geometry-optimized Sr2FeHg2 structure.

As for the crystal system: tetragonal. The polymorph energy (0 for the lowest one) is 219 meV per atom. The calculation puts the energy of formation at 0.257 eV per atom.

Unit cell a=8.7569 b=8.7569 c=4.1756 alpha=90.00 beta=90.00 gamma=90.00
Closest atoms and distances in Å follow each position.
Space group P4/mbm (No. 127)
Asymmetric unit:
1 Sr 0.1656 0.3344 0.0000 x4  6 Hg 3.25-3.36, 2 Fe 3.27
2 Fe 0.0000 0.0000 0.0000 x2  4 Sr 3.27
3 Hg 0.1336 0.6336 0.5000 x4  6 Sr 3.25-3.36, 1 Hg 3.31